# Al2Ni2Pb SCAN PBEsol geometry
data_Al2Ni2Pb
_cell_length_a 3.8964
_cell_length_b 3.8964
_cell_length_c 10.8673
_cell_angle_alpha 90.00
_cell_angle_beta 90.00
_cell_angle_gamma 90.00
_space_group_name_H-M_alt 'I 4/m m m'
_space_group_IT_number 139
_space_group_name_Hall '-I 4 2'
loop_
_atom_site_label
_atom_site_type_symbol
_atom_site_fract_x
_atom_site_fract_y
_atom_site_fract_z
Al1 Al 0.0000 0.0000 0.1263
Ni1 Ni 0.0000 0.5000 0.2500
Pb1 Pb 0.0000 0.0000 0.5000
# * uncorrected energy: -24.749 eV/atom
# * calculated formation energy: -0.023 eV/atom